(1)
A plane-wave DFT calculation with PBE was carried out for Pm3BeSi2 after structural relaxation.

a b c (Å): 11.620 4.093 11.767
angles (deg): 90.00 90.00 90.00
Element x y z (fractional)
Pm 0.067 0.250 0.118
Pm 0.118 0.750 0.559
Pm 0.199 0.250 0.794
Pm 0.301 0.750 0.294
Pm 0.382 0.250 0.059
Pm 0.433 0.750 0.618
Pm 0.567 0.250 0.382
Pm 0.618 0.750 0.941
Pm 0.699 0.250 0.706
Pm 0.801 0.750 0.206
Pm 0.882 0.250 0.441
Pm 0.933 0.750 0.882
Be 0.136 0.250 0.363
Be 0.364 0.750 0.863
Be 0.636 0.250 0.137
Be 0.864 0.750 0.637
Si 0.042 0.750 0.317
Si 0.199 0.750 0.980
Si 0.301 0.250 0.480
Si 0.458 0.250 0.817
Si 0.542 0.750 0.183
Si 0.699 0.750 0.520
Si 0.801 0.250 0.020
Si 0.958 0.250 0.683

Computed properties:
VASP energy: -5.36 eV per atom
Fermi-level density of states: 20.8 states/eV/cell
Raw formation energy: -3.32 eV per formula unit
Symmetry: Pnma, No. 62

---

(2)
A plane-wave DFT calculation with PBE was carried out for Ba2TeOs after structural relaxation.

a b c (Å): 9.642 9.642 9.642
angles (deg): 136.69 136.69 62.92
Element x y z (fractional)
Ba 0.091 0.625 0.966
Ba 0.375 0.341 0.466
Ba 0.659 0.125 0.034
Ba 0.875 0.909 0.534
Te 0.250 0.750 0.500
Te 0.500 0.500 0.000
Os 0.000 0.000 0.000
Os 0.750 0.250 0.500

Computed properties:
VASP energy: -4.12 eV per atom
Fermi-level density of states: 12.3 states/eV/cell
Raw formation energy: 1.72 eV per formula unit
Symmetry: I-42d, No. 122

---

(3)
A plane-wave DFT calculation with PBE was carried out for Ac2NbS6 after structural relaxation.

a b c (Å): 6.198 7.802 10.942
angles (deg): 90.00 121.83 90.00
Element x y z (fractional)
Ac 0.208 0.106 0.261
Ac 0.208 0.394 0.761
Ac 0.792 0.606 0.239
Ac 0.792 0.894 0.739
Nb 0.500 0.000 0.000
Nb 0.500 0.500 0.500
S 0.124 0.160 0.959
S 0.124 0.340 0.459
S 0.295 0.714 0.956
S 0.295 0.786 0.456
S 0.323 0.022 0.741
S 0.323 0.478 0.241
S 0.677 0.522 0.759
S 0.677 0.978 0.259
S 0.705 0.214 0.544
S 0.705 0.286 0.044
S 0.876 0.660 0.541
S 0.876 0.840 0.041

Computed properties:
VASP energy: -6.26 eV per atom
Fermi-level density of states: 12.6 states/eV/cell
Raw formation energy: -13.27 eV per formula unit
Symmetry: P2_1/c, No. 14

---

(4)
A plane-wave DFT calculation with PBE was carried out for KLi3W after structural relaxation.

a b c (Å): 5.426 5.426 5.426
angles (deg): 90.00 90.00 90.00
Element x y z (fractional)
K 0.000 0.000 0.000
Li 0.000 0.500 0.500
Li 0.500 0.000 0.500
Li 0.500 0.500 0.000
W 0.500 0.500 0.500

Computed properties:
VASP energy: -2.76 eV per atom
Fermi-level density of states: 4.2 states/eV/cell
Distance to the lowest polymorph of the same formula: 0.000 eV/atom
Symmetry: Pm-3m, No. 221